# 1
Rb2BaZrAs: relaxed, GGA-PBE.

a = 6.7978 Å, b = 6.7978 Å, c = 5.2829 Å
α = 90.00°, β = 90.00°, γ = 90.00°
Closest atoms and distances in Å follow each position.
Fractional positions:
Rb1 0.0000 0.5000 0.0000  2 As 3.40
Rb2 0.5000 0.0000 0.0000  2 As 3.40
Ba1 0.0000 0.0000 0.5000  8 Rb 4.30, 4 Zr 4.81
Zr1 0.5000 0.5000 0.5000  2 As 2.64
As1 0.5000 0.5000 0.0000  2 Zr 2.64

Values from the calculation:
ΔH_f (0 K), eV/atom: 0.22
Total magnetic moment, μB/f.u.: 1.14


# 2
ScHSe2Br: relaxed, GGA-PBE.

a = 4.1001 Å, b = 4.1001 Å, c = 5.4434 Å
α = 90.00°, β = 90.00°, γ = 90.00°
Closest atoms and distances in Å follow each position.
Fractional positions:
Sc1 0.0000 0.0000 0.0000  4 Br 2.90
H1 0.5000 0.5000 0.5000  4 Se 2.05
Se1 0.0000 0.5000 0.5000  2 H 2.05
Se2 0.5000 0.0000 0.5000  2 H 2.05
Br1 0.5000 0.5000 0.0000  2 H 2.72, 4 Sc 2.90

Values from the calculation:
Polymorph energy (0 for the lowest one), eV per atom: 0.000
Total magnetic moment, μB/f.u.: 0.00


# 3
RbPmP2Pt4: relaxed, GGA-PBE.

a = 4.0593 Å, b = 4.0593 Å, c = 11.1378 Å
α = 90.00°, β = 90.00°, γ = 90.00°
Closest atoms and distances in Å follow each position.
Fractional positions:
Rb1 0.0000 0.0000 0.0000  8 P 3.59, 8 Pt 3.90
Pm1 0.0000 0.0000 0.5000  8 Pt 3.02
P1 0.5000 0.5000 0.1933  4 Pt 2.35
P2 0.5000 0.5000 0.8067  4 Pt 2.35
Pt1 0.0000 0.5000 0.2990  2 P 2.35
Pt2 0.0000 0.5000 0.7010  2 P 2.35
Pt3 0.5000 0.0000 0.2990  2 P 2.35
Pt4 0.5000 0.0000 0.7010  2 P 2.35

Values from the calculation:
ΔH_f (0 K), eV/atom: -0.72
Total magnetic moment, μB/f.u.: 0.00


# 4
YAlSb2: relaxed, GGA-PBE.

a = 4.9552 Å, b = 4.9552 Å, c = 4.0484 Å
α = 90.00°, β = 90.00°, γ = 93.71°
Closest atoms and distances in Å follow each position.
Fractional positions:
Y1 0.0000 0.0000 0.0000  8 Sb 3.20, 2 Al 3.39
Al1 0.5000 0.5000 0.0000  8 Sb 3.20, 2 Y 3.39
Sb1 0.0000 0.5000 0.5000  4 Al 3.20, 4 Y 3.20, 2 Sb 3.39
Sb2 0.5000 0.0000 0.5000  4 Al 3.20, 4 Y 3.20, 2 Sb 3.39

Values from the calculation:
ΔE_f (raw), eV/f.u.: -1.6
Total magnetic moment, μB/f.u.: 0.00


Number 1: electronic total energy -15.944 eV for the cell shown. Number 2: electronic total energy -19.145 eV for the cell shown. Number 3: electronic total energy -46.424 eV for the cell shown. Number 4: electronic total energy -20.007 eV for the cell shown.